Entry 1:
Density functional theory data (PBE) for an optimized crystal structure of Sr2GeAs.

Geometry as POSCAR:
```
Sr2GeAs
1.0
8.456 0.000 0.000
0.000 8.456 0.000
4.228 4.228 3.496
Sr As Ge
4 2 2
Direct
0.640 0.125 0.250
0.110 0.625 0.250
0.375 0.360 0.750
0.875 0.890 0.750
0.000 0.000 0.000
0.750 0.250 0.500
0.500 0.500 0.000
0.250 0.750 0.500
```

Density of states at the Fermi level: 0.707 states/eV/atom
Calculated formation energy: -38 kJ/mol of atoms
Electronic total energy: -0.1305 hartree per atom
Magnetization: 0.00 Bohr magnetons per cell
Volume: 249.96 Å³ per cell


Entry 2:
Density functional theory data (PBE) for an optimized crystal structure of SbIN2.

Geometry as POSCAR:
```
SbIN2
1.0
-5.861 0.678 0.444
-0.529 -5.658 1.648
-2.730 -1.281 5.345
I Sb N
2 2 4
Direct
0.000 0.000 0.000
0.750 0.250 0.500
0.500 0.500 0.000
0.250 0.750 0.500
0.526 0.125 0.250
0.224 0.625 0.250
0.375 0.474 0.750
0.875 0.776 0.750
```

Density of states at the Fermi level: 0.924 states/eV/atom
Electronic total energy: -0.1601 hartree per atom
Magnetization: 0.00 Bohr magnetons per cell
Volume: 157.18 Å³ per cell
Formation energy (no corrections): 1.22 eV per atom


Entry 3:
Density functional theory data (PBE) for an optimized crystal structure of Er2Al3Si2.

Geometry as POSCAR:
```
Er2Al3Si2
1.0
3.996 0.000 0.000
0.000 3.738 0.000
0.000 -1.869 9.222
Er Al Si
2 3 2
Direct
0.000 0.836 0.671
0.000 0.164 0.329
0.500 0.571 0.142
0.500 0.429 0.858
0.000 0.000 0.000
0.500 0.710 0.420
0.500 0.290 0.580
```

Density of states at the Fermi level: 0.473 states/eV/atom
Electronic total energy: -0.1789 hartree per atom
Magnetization: 0.00 Bohr magnetons per cell
Volume: 137.76 Å³ per cell
Formation energy (no corrections): -0.41 eV per atom


Entry 4:
Density functional theory data (PBE) for an optimized crystal structure of Si2WCl.

Geometry as POSCAR:
```
Si2WCl
1.0
5.033 -0.018 -0.014
2.065 4.590 0.014
-3.145 -2.913 2.638
Cl Si W
1 2 1
Direct
0.250 0.750 0.500
0.992 0.992 0.000
0.508 0.508 0.000
0.750 0.250 0.500
```

Density of states at the Fermi level: 0.446 states/eV/atom
Electronic total energy: -0.2093 hartree per atom
Magnetization: 0.00 Bohr magnetons per cell
Volume: 61.12 Å³ per cell
Formation energy (no corrections): 0.72 eV per atom


Entry 5:
Density functional theory data (PBE) for an optimized crystal structure of NdTh2NpN4.

Geometry as POSCAR:
```
NdTh2NpN4
1.0
-0.581 4.440 -2.460
-3.801 -2.021 -2.750
-1.174 0.309 6.140
Nd Th Np N
1 2 1 4
Direct
0.500 0.500 0.000
0.250 0.750 0.500
0.000 0.000 0.000
0.750 0.250 0.500
0.993 0.493 0.986
0.507 0.007 0.014
0.754 0.754 0.508
0.246 0.246 0.492
```

Density of states at the Fermi level: 1.074 states/eV/atom
Electronic total energy: -0.3532 hartree per atom
Magnetization: 3.77 Bohr magnetons per cell
Volume: 133.39 Å³ per cell
Formation energy (no corrections): -1.38 eV per atom


Entry 6:
Density functional theory data (PBE) for an optimized crystal structure of Ce2Zr2Sb2H.

Geometry as POSCAR:
```
Ce2Zr2Sb2H
1.0
4.393 0.000 0.000
0.000 4.393 0.000
-2.197 -2.197 8.364
Ce Zr Sb H
2 2 2 1
Direct
0.175 0.175 0.350
0.825 0.825 0.650
0.000 0.500 0.000
0.500 0.000 0.000
0.372 0.372 0.744
0.628 0.628 0.256
0.000 0.000 0.000
```

Density of states at the Fermi level: 2.189 states/eV/atom
Electronic total energy: -0.2404 hartree per atom
Magnetization: 2.24 Bohr magnetons per cell
Volume: 161.43 Å³ per cell


Entry 7:
Density functional theory data (PBE) for an optimized crystal structure of Ce3YSc2Te6.

Geometry as POSCAR:
```
Ce3YSc2Te6
1.0
-0.644 -0.374 7.453
1.884 -6.101 -3.914
6.595 3.886 -0.491
Ce Y Sc Te
3 1 2 6
Direct
0.161 0.839 0.500
0.839 0.161 0.500
0.500 0.500 0.500
0.000 0.000 0.000
0.331 0.669 0.000
0.669 0.331 0.000
0.922 0.580 0.768
0.731 0.731 0.225
0.078 0.420 0.232
0.580 0.922 0.768
0.269 0.269 0.775
0.420 0.078 0.232
```

Density of states at the Fermi level: 1.963 states/eV/atom
Electronic total energy: -0.2175 hartree per atom
Magnetization: 3.56 Bohr magnetons per cell
Volume: 352.04 Å³ per cell
Formation energy (no corrections): -1.27 eV per atom


Entry 8:
Density functional theory data (PBE) for an optimized crystal structure of CePrTh2S4.

Geometry as POSCAR:
```
CePrTh2S4
1.0
-1.355 3.824 -0.235
-4.278 -1.186 5.385
6.184 2.338 2.387
Ce Pr Th S
1 1 2 4
Direct
0.000 0.000 0.000
0.500 0.500 0.000
0.500 0.000 0.500
0.000 0.500 0.500
0.500 0.247 0.249
0.500 0.753 0.751
0.000 0.247 0.749
0.000 0.753 0.251
```

Density of states at the Fermi level: 0.954 states/eV/atom
Electronic total energy: -0.2645 hartree per atom
Magnetization: 0.40 Bohr magnetons per cell
Volume: 187.95 Å³ per cell
Formation energy (no corrections): -1.94 eV per atom


Which of these has the lowest electronic total energy?
NdTh2NpN4